Record 1
The following is a DFT calculation (PBE) of Pm4OsS2Br after structural relaxation.

a b c (Å): 3.9834 7.2324 7.3680
angles (deg): 72.97 90.00 90.00
Sites, in units of the cell vectors:
1 Pm 0.0000 0.7614 0.7135
2 Pm 0.0000 0.2386 0.2865
3 Pm 0.5000 0.7501 0.2687
4 Pm 0.5000 0.2499 0.7313
5 Os 0.0000 0.5000 0.5000
6 S 0.0000 0.0000 0.0000
7 S 0.5000 0.0000 0.5000
8 Br 0.5000 0.5000 0.0000

Output
Raw total energy ... -6.2637 eV per atom
ΔE_f (raw) ... -9.950 eV per formula unit


Record 2
The following is a DFT calculation (PBE) of Sr4PbI3 after structural relaxation.

a b c (Å): 8.5329 8.3023 9.7776
angles (deg): 90.00 90.00 109.30
Sites, in units of the cell vectors:
1 Pb 0.7500 0.0000 0.8701
2 Pb 0.2500 0.0000 0.1299
3 Sr 0.9812 0.2333 0.6382
4 Sr 0.5013 0.2259 0.8934
5 Sr 0.4812 0.2333 0.3618
6 Sr 0.0013 0.2259 0.1066
7 Sr 0.9987 0.7741 0.8934
8 Sr 0.5188 0.7667 0.6382
9 Sr 0.4987 0.7741 0.1066
10 Sr 0.0188 0.7667 0.3618
11 I 0.7500 0.0000 0.3753
12 I 0.2500 0.0000 0.6247
13 I 0.7500 0.5000 0.6097
14 I 0.7500 0.5000 0.1395
15 I 0.2500 0.5000 0.3903
16 I 0.2500 0.5000 0.8605

Output
Raw total energy ... -2.9653 eV per atom
ΔE_f (raw) ... -8.637 eV per formula unit


Record 3
The following is a DFT calculation (PBE) of Li2Zn3Si after structural relaxation.

a b c (Å): 4.1379 5.7386 15.2016
angles (deg): 90.00 90.00 90.00
Sites, in units of the cell vectors:
1 Li 0.2500 0.1415 0.0225
2 Li 0.7500 0.8585 0.9775
3 Li 0.7500 0.3585 0.5225
4 Li 0.2500 0.6415 0.4775
5 Li 0.7500 0.1974 0.7004
6 Li 0.2500 0.8026 0.2996
7 Li 0.2500 0.3026 0.2004
8 Li 0.7500 0.6974 0.7996
9 Zn 0.2500 0.3859 0.7931
10 Zn 0.7500 0.6141 0.2069
11 Zn 0.7500 0.1141 0.2931
12 Zn 0.2500 0.8859 0.7069
13 Zn 0.7500 0.2617 0.8890
14 Zn 0.2500 0.7383 0.1110
15 Zn 0.2500 0.2383 0.3890
16 Zn 0.7500 0.7617 0.6110
17 Zn 0.2500 0.0769 0.5539
18 Zn 0.7500 0.9231 0.4461
19 Zn 0.7500 0.4231 0.0539
20 Zn 0.2500 0.5769 0.9461
21 Si 0.2500 0.4721 0.6355
22 Si 0.7500 0.5279 0.3645
23 Si 0.7500 0.0279 0.1355
24 Si 0.2500 0.9721 0.8645

Output
Raw total energy ... -2.3008 eV per atom
ΔE_f (raw) ... -0.732 eV per formula unit


Record 4
The following is a DFT calculation (PBE) of Tb3Ho3Sc2 after structural relaxation.

a b c (Å): 4.9109 4.9232 9.7903
angles (deg): 90.00 90.00 90.00
Sites, in units of the cell vectors:
1 Tb 0.0000 0.5000 0.5000
2 Tb 0.5000 0.0000 0.0000
3 Tb 0.5000 0.0000 0.5000
4 Ho 0.5000 0.5000 0.2496
5 Ho 0.5000 0.5000 0.7504
6 Ho 0.0000 0.5000 0.0000
7 Sc 0.0000 0.0000 0.2494
8 Sc 0.0000 0.0000 0.7506

Output
Raw total energy ... -4.9956 eV per atom
ΔE_f ... 0.04 eV/atom


Record 5
The following is a DFT calculation (PBE) of Tb3RhAu after structural relaxation.

a b c (Å): 5.5851 6.6699 8.5506
angles (deg): 118.07 78.84 115.38
Sites, in units of the cell vectors:
1 Tb 0.4647 0.7962 0.1443
2 Tb 0.1689 0.3868 0.6780
3 Tb 0.8694 0.7999 0.7629
4 Tb 0.1306 0.2001 0.2371
5 Tb 0.5353 0.2038 0.8557
6 Tb 0.8311 0.6132 0.3220
7 Rh 0.9441 0.6975 0.0182
8 Rh 0.0559 0.3025 0.9818
9 Au 0.6460 0.2486 0.4937
10 Au 0.3540 0.7514 0.5063

Output
Raw total energy ... -5.5747 eV per atom
ΔE_f ... -0.67 eV/atom


Record 6
The following is a DFT calculation (PBE) of Y3BiPt after structural relaxation.

a b c (Å): 5.4357 5.4357 5.4357
angles (deg): 90.00 90.00 90.00
Sites, in units of the cell vectors:
1 Y 0.0000 0.5000 0.0000
2 Y 0.0000 0.0000 0.5000
3 Y 0.5000 0.0000 0.0000
4 Bi 0.5000 0.5000 0.5000
5 Pt 0.0000 0.0000 0.0000

Output
Raw total energy ... -6.4996 eV per atom
ΔE_f ... -0.64 eV/atom